[1]
This record from the Open Quantum Materials Database describes a geometry-optimized Dy2Tm5Lu structure. The functional is GGA-PBE. Values from VASP.

Quantum ESPRESSO input file:
```
&SYSTEM
  ibrav = 0, nat = 8, ntyp = 3
/
ATOMIC_SPECIES
Dy 162.50 Dy.upf
Lu 174.97 Lu.upf
Tm 168.93 Tm.upf
CELL_PARAMETERS angstrom
-5.2065 0.5500 1.7705
1.5687 -3.8026 5.7940
2.3386 3.2611 5.8641
ATOMIC_POSITIONS crystal
Dy 0.0000 0.3333 0.3333
Dy 0.5000 0.6667 0.6667
Lu 0.0000 0.8338 0.8338
Tm 0.5000 0.6676 0.1662
Tm 0.5000 0.1662 0.1662
Tm 0.0000 0.8339 0.3324
Tm 0.5000 0.1662 0.6676
Tm 0.0000 0.3324 0.8339
```

Values from the calculation:
**Crystal system**: orthorhombic
**Volume**: 241.7 Å³/cell

=====

[2]
This record from the Open Quantum Materials Database describes a geometry-optimized HfScZn2 structure. The functional is GGA-PBE. Values from VASP.

Quantum ESPRESSO input file:
```
&SYSTEM
  ibrav = 0, nat = 4, ntyp = 3
/
ATOMIC_SPECIES
Hf 178.49 Hf.upf
Sc 44.96 Sc.upf
Zn 65.41 Zn.upf
CELL_PARAMETERS angstrom
0.0000 3.3418 3.3418
3.3418 0.0000 3.3418
3.3418 3.3418 0.0000
ATOMIC_POSITIONS crystal
Hf 0.2500 0.2500 0.2500
Sc 0.5000 0.5000 0.5000
Zn 0.0000 0.0000 0.0000
Zn 0.7500 0.7500 0.7500
```

Values from the calculation:
**Crystal system**: cubic
**Volume**: 74.6 Å³/cell

=====

Number 1: ΔE_f 1.2 meV/atom. Number 2: ΔE_f 210.5 meV/atom.